# La6SmRh4

Crystalline La6SmRh4 at its relaxed geometry (PBE, the Alexandria database).

Values from the calculation:
- Energy of formation from the pure elements: -52 kJ/mol of atoms
- Volume: 303.4 Å³/cell

a b c (Å): 6.831 6.222 9.022
angles (deg): 106.54 112.73 106.54
Positions (direct):
La (0.024, 0.450, 0.569)
La (0.493, 0.199, 0.644)
La (0.907, 0.791, 0.275)
La (0.176, 0.498, 0.025)
La (0.524, 0.658, 0.460)
La (0.525, 0.097, 0.040)
Sm (0.905, 0.885, 0.910)
Rh (0.051, 0.310, 0.258)
Rh (0.495, 0.573, 0.896)
Rh (0.346, 0.050, 0.264)
Rh (0.053, 0.989, 0.660)